[1]
SrCoI3 | PBE | optimized geometry

Electronic total energy in eV per atom: -3.258

a b c (Å): 5.478 5.478 5.478
angles (deg): 90.00 90.00 90.00
Space group Pm-3m (No. 221)
Unique sites:
Sr 0.000 0.000 0.000 [1 per cell]
Co 0.500 0.500 0.500 [1 per cell]
I 0.000 0.500 0.500 [3 per cell]

=====

[2]
ZrMnSb2 | PBE | optimized geometry

Electronic total energy in eV per atom: -6.410

a b c (Å): 3.3754 3.3754 27.0656
angles (deg): 90.00 90.00 120.00
Space group R3m (No. 160, hexagonal axes)
Unique sites:
Zr 0.0000 0.0000 0.0000 [3 per cell]
Mn 0.0000 0.0000 0.7395 [3 per cell]
Sb 0.0000 0.0000 0.2462 [3 per cell]
Sb 0.0000 0.0000 0.4719 [3 per cell]

=====

[3]
MgBRh | PBE | optimized geometry

DFT formation energy in kJ per mole of atoms: -20
Electronic total energy in eV per atom: -5.417

a b c (Å): 2.865 2.865 9.229
angles (deg): 90.00 90.00 90.00
Space group I4mm (No. 107)
Unique sites:
Mg 0.000 0.000 0.000 [2 per cell]
B 0.000 0.000 0.304 [2 per cell]
Rh 0.000 0.000 0.715 [2 per cell]

=====

[4]
NaCaTm2S4 | PBE | optimized geometry

Electronic total energy in eV per atom: -5.541

a b c (Å): 6.756 3.905 6.925
angles (deg): 90.00 108.92 90.00
Space group P2/m (No. 10)
Unique sites:
Na 0.000 0.000 0.000 [1 per cell]
Ca 0.500 0.500 0.000 [1 per cell]
Tm 0.000 0.500 0.500 [1 per cell]
Tm 0.500 0.000 0.500 [1 per cell]
S 0.246 0.000 0.737 [2 per cell]
S 0.257 0.500 0.267 [2 per cell]

=====

[5]
KRe2 | PBE | optimized geometry

DFT formation energy in kJ per mole of atoms: 162
Electronic total energy in eV per atom: -6.989

a b c (Å): 4.841 4.841 12.763
angles (deg): 90.00 90.00 90.00
Space group I4_1/amd (No. 141, origin choice 2)
Unique sites:
K 0.000 0.250 0.375 [4 per cell]
Re 0.000 0.250 0.785 [8 per cell]

=====

[6]
TbUAl2O8 | PBE | optimized geometry

Electronic total energy in eV per atom: -8.124

a b c (Å): 6.898 6.898 6.485
angles (deg): 90.00 90.00 90.00
Space group I-4m2 (No. 119)
Unique sites:
Tb 0.000 0.000 0.000 [2 per cell]
U 0.000 0.500 0.250 [2 per cell]
Al 0.000 0.000 0.500 [2 per cell]
Al 0.000 0.500 0.750 [2 per cell]
O 0.000 0.195 0.320 [8 per cell]
O 0.000 0.322 0.943 [8 per cell]

=====

[7]
SrLi2Br | PBE | optimized geometry

Electronic total energy in eV per atom: -2.302

a b c (Å): 3.650 3.650 8.895
angles (deg): 90.00 90.00 90.00
Space group P4/mmm (No. 123)
Unique sites:
Sr 0.000 0.000 0.000 [1 per cell]
Li 0.500 0.500 0.325 [2 per cell]
Br 0.000 0.000 0.500 [1 per cell]

=====

[8]
TlNiRh2 | PBE | optimized geometry

DFT formation energy in kJ per mole of atoms: 28
Electronic total energy in eV per atom: -5.424

a b c (Å): 2.968 4.554 4.607
angles (deg): 90.00 90.00 90.00
Space group Pmmm (No. 47)
Unique sites:
Tl 0.000 0.000 0.000 [1 per cell]
Ni 0.500 0.000 0.500 [1 per cell]
Rh 0.000 0.500 0.500 [1 per cell]
Rh 0.500 0.500 0.000 [1 per cell]